DFT (PBE-GGA) results for crystalline NbHg3Ge at its relaxed geometry.

extended XYZ file:
```
5
Lattice="5.370 0.000 0.000 0.000 5.370 0.000 0.000 0.000 5.370" Properties=species:S:1:pos:R:3 pbc="T T T"
Nb 0.000 0.000 0.000
Ge 2.685 2.685 2.685
Hg 0.000 2.685 0.000
Hg 0.000 0.000 2.685
Hg 2.685 0.000 0.000
```

Properties
SG = No. 221
Calculated formation energy = 1.00 eV/atom
E above lowest polymorph = 0 meV/atom
Uncorrected energy = -0.078 Ha/atom
Total magnetic moment = 0.0 Bohr magnetons per cell

DFT (PBE-GGA) results for crystalline SrCdHgAs at its relaxed geometry.

extended XYZ file:
```
4
Lattice="-4.102 -2.692 -2.049 0.346 -5.262 -0.678 -2.840 -3.270 3.084" Properties=species:S:1:pos:R:3 pbc="T T T"
Sr -4.947 -8.419 0.268
As -3.298 -5.613 0.178
Hg 0.000 0.000 0.000
Cd -1.649 -2.806 0.089
```

Properties
SG = No. 216
Calculated formation energy = -0.43 eV/atom
Uncorrected energy = -0.085 Ha/atom
Total magnetic moment = 0.0 Bohr magnetons per cell

DFT (PBE-GGA) results for crystalline ZnGa5Ni6 at its relaxed geometry.

extended XYZ file:
```
12
Lattice="3.862 -0.021 1.287 0.029 5.958 0.010 -0.003 -0.011 6.446" Properties=species:S:1:pos:R:3 pbc="T T T"
Ni 3.228 4.453 3.263
Ni 3.213 1.463 3.258
Ni 1.939 1.536 0.646
Ni 1.953 4.401 0.651
Ni 0.676 4.464 4.484
Ni 0.661 1.473 4.479
Zn 0.000 0.000 0.000
Ga 2.589 2.958 5.155
Ga 1.305 -0.011 2.523
Ga 0.015 2.979 0.005
Ga 2.555 -0.021 5.209
Ga 1.300 2.969 2.587
```

Properties
SG = No. 65
Calculated formation energy = -0.36 eV/atom
Uncorrected energy = -0.170 Ha/atom
Total magnetic moment = 0.0 Bohr magnetons per cell

DFT (PBE-GGA) results for crystalline TmPaTlZn at its relaxed geometry.

extended XYZ file:
```
4
Lattice="-4.439 2.614 -0.630 -4.412 -2.567 -0.936 -3.688 -0.234 3.643" Properties=species:S:1:pos:R:3 pbc="T T T"
Tl -6.270 -0.094 1.039
Pa -9.405 -0.141 1.558
Tm -3.135 -0.047 0.519
Zn 0.000 0.000 0.000
```

Properties
SG = No. 216
Calculated formation energy = 0.05 eV/atom
Uncorrected energy = -0.160 Ha/atom
Total magnetic moment = 1.0 Bohr magnetons per cell

DFT (PBE-GGA) results for crystalline TaRe2Pt at its relaxed geometry.

extended XYZ file:
```
4
Lattice="-2.633 3.816 -1.476 -4.438 1.948 -0.428 -0.154 2.514 4.214" Properties=species:S:1:pos:R:3 pbc="T T T"
Pt -1.821 2.088 0.586
Re -0.153 2.481 4.156
Re -5.406 6.248 1.824
Ta -3.611 4.115 1.114
```

Properties
SG = No. 8
Calculated formation energy = -0.13 eV/atom
E above lowest polymorph = 150 meV/atom
Uncorrected energy = -0.398 Ha/atom
Total magnetic moment = 0.0 Bohr magnetons per cell

DFT (PBE-GGA) results for crystalline PrHo12Sc2 at its relaxed geometry.

extended XYZ file:
```
30
Lattice="-5.168 1.804 -2.399 -1.002 -0.956 5.813 -4.196 27.618 11.407" Properties=species:S:1:pos:R:3 pbc="T T T"
Pr -3.586 -0.054 4.614
Pr -4.698 27.141 14.314
Ho -5.507 22.447 10.335
Ho -8.592 22.871 12.042
Ho -7.733 26.254 12.743
Ho -5.578 23.667 13.594
Ho -7.128 9.676 6.866
Ho -2.706 3.419 5.334
Ho -6.225 18.085 6.420
Ho -4.043 9.252 5.159
Ho -4.648 25.830 11.036
Ho -5.719 2.636 3.786
Ho -4.067 15.497 7.269
Ho -6.224 11.760 4.295
Ho -3.238 18.790 7.955
Ho -3.215 12.545 5.845
Ho -2.633 2.212 2.079
Ho -6.300 12.969 7.552
Ho -7.152 15.921 8.976
Ho -1.775 5.595 2.780
Ho -4.143 16.706 10.527
Ho -6.323 19.214 9.662
Ho -7.661 25.047 9.487
Ho -4.860 6.019 4.487
Ho -4.141 10.381 8.401
Ho -4.788 4.799 1.228
Sc -3.953 8.104 1.914
Sc -1.870 6.724 6.021
Sc -8.496 21.742 8.801
Sc -6.414 20.362 12.907
```

Properties
SG = No. 65
Calculated formation energy = 0.12 eV/atom
Uncorrected energy = -0.173 Ha/atom
Total magnetic moment = 0.0 Bohr magnetons per cell

DFT (PBE-GGA) results for crystalline Pr4ScCd2 at its relaxed geometry.

extended XYZ file:
```
7
Lattice="5.584 0.000 0.000 2.792 4.836 0.000 2.792 1.612 8.746" Properties=species:S:1:pos:R:3 pbc="T T T"
Pr 8.376 4.836 7.020
Pr 8.376 4.836 3.408
Pr 2.792 1.612 1.727
Pr 2.792 1.612 5.338
Sc 5.584 3.224 4.373
Cd 5.584 3.224 1.479
Cd 5.584 3.224 7.267
```

Properties
SG = No. 166
Calculated formation energy = 0.07 eV/atom
Uncorrected energy = -0.141 Ha/atom
Total magnetic moment = 0.0 Bohr magnetons per cell

DFT (PBE-GGA) results for crystalline LaTaAlP2 at its relaxed geometry.

extended XYZ file:
```
5
Lattice="-2.042 3.584 -2.322 -4.375 -1.830 1.022 -0.121 2.524 4.002" Properties=species:S:1:pos:R:3 pbc="T T T"
P -0.061 1.262 2.001
P -1.021 1.792 -1.161
La -3.269 2.139 1.351
Al 0.000 0.000 0.000
Ta -2.187 -0.915 0.511
```

Properties
SG = No. 123
Calculated formation energy = 0.43 eV/atom
Uncorrected energy = -0.215 Ha/atom
Total magnetic moment = 0.0 Bohr magnetons per cell

DFT (PBE-GGA) results for crystalline Ce3NdPb2 at its relaxed geometry.

extended XYZ file:
```
12
Lattice="-1.843 4.531 0.441 -0.400 -1.883 -9.680 -6.278 -2.999 4.586" Properties=species:S:1:pos:R:3 pbc="T T T"
Ce -3.969 -1.296 -3.275
Ce -5.319 1.039 -5.554
Ce -5.560 0.294 1.092
Ce -2.960 -0.645 -5.747
Ce -3.202 -1.390 0.899
Ce -4.552 0.945 -1.379
Nd -7.932 -0.299 -2.726
Nd -0.589 -0.052 -1.928
Pb -6.274 -2.027 -5.392
Pb -2.247 1.676 0.737
Pb -2.585 1.977 -3.775
Pb -5.935 -2.328 -0.880
```

Properties
SG = No. 12
Calculated formation energy = -0.28 eV/atom
Uncorrected energy = -0.194 Ha/atom
Total magnetic moment = 2.8 Bohr magnetons per cell

DFT (PBE-GGA) results for crystalline NbSiBi3 at its relaxed geometry.

extended XYZ file:
```
5
Lattice="5.292 0.000 0.000 0.000 5.292 0.000 0.000 0.000 5.292" Properties=species:S:1:pos:R:3 pbc="T T T"
Nb 2.646 2.646 2.646
Si 0.000 0.000 0.000
Bi 0.000 2.646 0.000
Bi 0.000 0.000 2.646
Bi 2.646 0.000 0.000
```

Properties
SG = No. 221
E above lowest polymorph = 355 meV/atom
Uncorrected energy = -0.155 Ha/atom
Total magnetic moment = 0.0 Bohr magnetons per cell

DFT (PBE-GGA) results for crystalline TcAuI2N at its relaxed geometry.

extended XYZ file:
```
5
Lattice="5.566 0.000 0.000 0.000 5.566 0.000 0.000 0.000 3.748" Properties=species:S:1:pos:R:3 pbc="T T T"
I 0.000 2.783 0.000
I 2.783 0.000 0.000
Au 2.783 2.783 1.874
Tc 0.000 0.000 0.000
N 0.000 0.000 1.874
```

Properties
SG = No. 123
E above lowest polymorph = 0 meV/atom
Uncorrected energy = -0.166 Ha/atom
Total magnetic moment = 0.0 Bohr magnetons per cell

DFT (PBE-GGA) results for crystalline LiNdErGa at its relaxed geometry.

extended XYZ file:
```
4
Lattice="5.161 0.000 0.000 2.580 4.469 0.000 2.580 1.490 4.214" Properties=species:S:1:pos:R:3 pbc="T T T"
Li 7.741 4.469 3.160
Nd 5.161 2.979 2.107
Ga 2.580 1.490 1.053
Er 0.000 0.000 0.000
```

Properties
SG = No. 216
Calculated formation energy = -0.30 eV/atom
Uncorrected energy = -0.142 Ha/atom
Total magnetic moment = 0.0 Bohr magnetons per cell

DFT (PBE-GGA) results for crystalline Na3DyPa3Te8 at its relaxed geometry.

extended XYZ file:
```
15
Lattice="-3.518 -7.834 1.281 1.028 3.030 -8.072 7.565 -2.637 4.644" Properties=species:S:1:pos:R:3 pbc="T T T"
Na 0.000 0.000 0.000
Na 0.514 1.515 -4.036
Na -1.245 -2.402 -3.395
Dy 3.783 -1.319 2.322
Pa 2.024 -5.236 2.963
Pa 2.538 -3.721 -1.073
Pa 4.297 0.196 -1.714
Te 1.596 -1.135 -2.557
Te 3.480 -6.307 0.411
Te -0.126 -5.067 -1.910
Te 5.202 -2.374 -0.237
Te -0.638 -6.577 2.112
Te 5.714 -0.864 -4.259
Te 1.115 -2.673 1.474
Te 3.961 -4.768 -3.621
```

Properties
SG = No. 166
Uncorrected energy = -0.188 Ha/atom
Total magnetic moment = 5.0 Bohr magnetons per cell

DFT (PBE-GGA) results for crystalline Sm2ZnSn3Rh4 at its relaxed geometry.

extended XYZ file:
```
10
Lattice="-2.722 2.255 2.559 -3.390 -2.144 -1.718 0.925 -7.658 7.731" Properties=species:S:1:pos:R:3 pbc="T T T"
Sm -1.128 -0.804 3.229
Sm -1.004 -6.799 4.922
Zn -2.594 -3.774 4.286
Sn 0.462 -3.829 3.865
Sn -0.559 -5.514 7.984
Sn -1.572 -2.089 0.167
Rh -3.056 0.055 0.420
Rh 0.000 0.000 0.000
Rh -0.778 -3.706 6.159
Rh -1.354 -3.896 1.992
```

Properties
SG = No. 115
Calculated formation energy = -0.66 eV/atom
Uncorrected energy = -0.216 Ha/atom
Total magnetic moment = 0.0 Bohr magnetons per cell

DFT (PBE-GGA) results for crystalline Rb2Ge2Pt at its relaxed geometry.

extended XYZ file:
```
10
Lattice="6.677 0.000 0.000 0.000 6.677 0.000 0.000 0.000 5.881" Properties=species:S:1:pos:R:3 pbc="T T T"
Ge 2.455 5.793 0.000
Ge 5.793 4.223 0.000
Ge 4.223 0.884 0.000
Ge 0.884 2.455 0.000
Rb 1.269 4.607 2.940
Rb 4.607 5.409 2.940
Rb 5.409 2.070 2.940
Rb 2.070 1.269 2.940
Pt 0.000 0.000 0.000
Pt 3.339 3.339 0.000
```

Properties
SG = No. 127
Calculated formation energy = -0.16 eV/atom
E above lowest polymorph = 47 meV/atom
Uncorrected energy = -0.132 Ha/atom
Total magnetic moment = 0.0 Bohr magnetons per cell

DFT (PBE-GGA) results for crystalline Pr2Sm5HoTm at its relaxed geometry.

extended XYZ file:
```
18
Lattice="-8.232 0.317 -2.469 -1.496 -7.448 4.032 2.950 7.690 6.129" Properties=species:S:1:pos:R:3 pbc="T T T"
Pr -1.566 -2.782 1.227
Pr -5.297 -0.707 -1.045
Pr -4.432 -6.424 2.607
Pr -8.163 -4.349 0.335
Sm -7.407 -0.664 1.192
Sm -3.356 4.654 3.347
Sm 0.629 1.224 6.499
Sm 0.855 4.968 4.326
Sm -3.582 0.910 5.520
Sm -7.633 -4.408 3.365
Sm -3.196 -0.350 2.171
Sm -3.422 -4.094 4.344
Sm -4.864 -3.565 0.781
Sm 0.000 0.000 0.000
Ho -0.957 2.062 3.455
Ho -5.821 -1.503 4.236
Tm -1.705 -1.661 5.471
Tm -5.073 2.221 2.220
```

Properties
SG = No. 140
Calculated formation energy = 0.27 eV/atom
Uncorrected energy = -0.162 Ha/atom
Total magnetic moment = 0.0 Bohr magnetons per cell

DFT (PBE-GGA) results for crystalline SrHg6 at its relaxed geometry.

extended XYZ file:
```
7
Lattice="5.012 0.000 0.000 0.000 5.012 0.000 0.000 0.000 8.191" Properties=species:S:1:pos:R:3 pbc="T T T"
Sr 0.000 0.000 0.000
Hg 0.000 0.000 4.095
Hg 2.506 2.506 0.000
Hg 2.506 0.000 5.884
Hg 0.000 2.506 2.307
Hg 2.506 0.000 2.307
Hg 0.000 2.506 5.884
```

Properties
SG = No. 123
Calculated formation energy = -0.24 eV/atom
E above lowest polymorph = 0 meV/atom
Uncorrected energy = -0.027 Ha/atom
Total magnetic moment = 0.0 Bohr magnetons per cell

DFT (PBE-GGA) results for crystalline FeAsH2Pt at its relaxed geometry.

extended XYZ file:
```
5
Lattice="3.411 0.000 0.000 0.000 5.269 0.000 0.000 0.000 3.411" Properties=species:S:1:pos:R:3 pbc="T T T"
H 0.000 0.000 1.706
H 1.706 0.000 0.000
As 1.706 2.635 1.706
Fe 0.000 2.635 0.000
Pt 0.000 0.000 0.000
```

Properties
SG = No. 123
Uncorrected energy = -0.181 Ha/atom
Total magnetic moment = 2.1 Bohr magnetons per cell

DFT (PBE-GGA) results for crystalline PmAl3Fe at its relaxed geometry.

extended XYZ file:
```
20
Lattice="4.068 0.000 0.000 0.000 8.272 0.000 0.000 0.000 10.883" Properties=species:S:1:pos:R:3 pbc="T T T"
Pm 3.051 6.706 0.094
Pm 1.017 5.703 5.535
Pm 3.051 2.570 5.348
Pm 1.017 1.567 10.790
Al 1.017 4.521 0.883
Al 3.051 3.752 10.000
Al 1.017 0.384 4.559
Al 3.051 7.888 6.325
Al 1.017 3.263 7.916
Al 3.051 0.873 2.474
Al 1.017 7.399 8.409
Al 3.051 5.406 7.930
Al 1.017 2.866 2.953
Al 3.051 1.270 8.395
Al 3.051 5.010 2.967
Al 1.017 7.003 2.488
Fe 1.017 1.036 6.970
Fe 1.017 5.172 9.356
Fe 3.051 3.100 1.528
Fe 3.051 7.236 3.914
```

Properties
SG = No. 62
Calculated formation energy = -0.40 eV/atom
E above lowest polymorph = 0 meV/atom
Uncorrected energy = -0.194 Ha/atom
Total magnetic moment = 2.5 Bohr magnetons per cell